Version w
Density functional theory data (PBE) for crystalline LiPuTc2 at its relaxed geometry.

- calculated volume (Å³ per cell) = 62
- ρ (g/cm3) = 11.99
- magnetization (μB per cell) = 2.88
- SG = Fm-3m (225)

Geometry as CIF:
```
data_LiPuTc2
_cell_length_a 4.4397
_cell_length_b 4.4397
_cell_length_c 4.4397
_cell_angle_alpha 60.00
_cell_angle_beta 60.00
_cell_angle_gamma 60.00
_space_group_name_H-M_alt 'P 1'
_space_group_IT_number 1
_space_group_name_Hall 'P 1'
loop_
_atom_site_label
_atom_site_type_symbol
_atom_site_fract_x
_atom_site_fract_y
_atom_site_fract_z
_atom_site_occupancy
Li1 Li 0.5000 0.5000 0.5000 1
Tc1 Tc 0.2500 0.2500 0.2500 1
Tc2 Tc 0.7500 0.7500 0.7500 1
Pu1 Pu 0.0000 0.0000 0.0000 1
```



Version x
Density functional theory data (PBE) for crystalline LiPuTc2 at its relaxed geometry.

- calculated volume (Å³ per cell) = 63
- ρ (g/cm3) = 11.83
- magnetization (μB per cell) = 2.10
- SG = P4/mmm (123)

Geometry as CIF:
```
data_LiPuTc2
_cell_length_a 3.4273
_cell_length_b 4.2791
_cell_length_c 4.2791
_cell_angle_alpha 90.00
_cell_angle_beta 90.00
_cell_angle_gamma 90.00
_space_group_name_H-M_alt 'P 1'
_space_group_IT_number 1
_space_group_name_Hall 'P 1'
loop_
_atom_site_label
_atom_site_type_symbol
_atom_site_fract_x
_atom_site_fract_y
_atom_site_fract_z
_atom_site_occupancy
Li1 Li 0.5000 0.5000 0.5000 1
Tc1 Tc 0.0000 0.0000 0.5000 1
Tc2 Tc 0.0000 0.5000 0.0000 1
Pu1 Pu 0.5000 0.0000 0.0000 1
```



Here is how they stack up, most stable first: version w, version x.



Version w
Density functional theory data (PBE) for crystalline LiPuTh at its relaxed geometry.

- calculated volume (Å³ per cell) = 79
- ρ (g/cm3) = 10.21
- magnetization (μB per cell) = 5.77
- SG = I4mm (107)

Geometry as CIF:
```
data_LiPuTh
_cell_length_a 3.4900
_cell_length_b 3.4900
_cell_length_c 6.9068
_cell_angle_alpha 104.63
_cell_angle_beta 104.63
_cell_angle_gamma 90.00
_space_group_name_H-M_alt 'P 1'
_space_group_IT_number 1
_space_group_name_Hall 'P 1'
loop_
_atom_site_label
_atom_site_type_symbol
_atom_site_fract_x
_atom_site_fract_y
_atom_site_fract_z
_atom_site_occupancy
Li1 Li 0.9958 0.9958 0.9916 1
Th1 Th 0.6627 0.6627 0.3254 1
Pu1 Pu 0.3415 0.3415 0.6830 1
```



Version x
Density functional theory data (PBE) for crystalline LiPuTh at its relaxed geometry.

- calculated volume (Å³ per cell) = 145
- ρ (g/cm3) = 11.07
- magnetization (μB per cell) = 0.00
- SG = C2/m (12)

Geometry as CIF:
```
data_LiPuTh
_cell_length_a 3.4341
_cell_length_b 6.6495
_cell_length_c 7.7330
_cell_angle_alpha 59.37
_cell_angle_beta 90.00
_cell_angle_gamma 104.96
_space_group_name_H-M_alt 'P 1'
_space_group_IT_number 1
_space_group_name_Hall 'P 1'
loop_
_atom_site_label
_atom_site_type_symbol
_atom_site_fract_x
_atom_site_fract_y
_atom_site_fract_z
_atom_site_occupancy
Th1 Th 0.1236 0.2471 0.7630 1
Th2 Th 0.8764 0.7529 0.2370 1
Li1 Li 0.3983 0.7965 0.5732 1
Li2 Li 0.6017 0.2035 0.4268 1
Pu1 Pu 0.1810 0.3621 0.0614 1
Pu2 Pu 0.8190 0.6379 0.9386 1
```



Here is how they stack up, most stable first: version w, version x.



Version w
Density functional theory data (PBE) for crystalline LiPuTl5 at its relaxed geometry.

- calculated volume (Å³ per cell) = 188
- ρ (g/cm3) = 11.25
- magnetization (μB per cell) = 5.89
- SG = P4/mmm (123)

Geometry as CIF:
```
data_LiPuTl5
_cell_length_a 4.8907
_cell_length_b 4.8907
_cell_length_c 7.8537
_cell_angle_alpha 90.00
_cell_angle_beta 90.00
_cell_angle_gamma 90.00
_space_group_name_H-M_alt 'P 1'
_space_group_IT_number 1
_space_group_name_Hall 'P 1'
loop_
_atom_site_label
_atom_site_type_symbol
_atom_site_fract_x
_atom_site_fract_y
_atom_site_fract_z
_atom_site_occupancy
Li1 Li 0.0000 0.0000 0.5000 1
Pu1 Pu 0.0000 0.0000 0.0000 1
Tl1 Tl 0.5000 0.0000 0.7058 1
Tl2 Tl 0.0000 0.5000 0.7058 1
Tl3 Tl 0.5000 0.5000 0.0000 1
Tl4 Tl 0.0000 0.5000 0.2942 1
Tl5 Tl 0.5000 0.0000 0.2942 1
```



Version x
Density functional theory data (PBE) for crystalline LiPuTl5 at its relaxed geometry.

- calculated volume (Å³ per cell) = 190
- ρ (g/cm3) = 11.14
- magnetization (μB per cell) = 6.13
- SG = P4/mmm (123)

Geometry as CIF:
```
data_LiPuTl5
_cell_length_a 4.7902
_cell_length_b 4.7903
_cell_length_c 8.2682
_cell_angle_alpha 90.00
_cell_angle_beta 90.00
_cell_angle_gamma 90.00
_space_group_name_H-M_alt 'P 1'
_space_group_IT_number 1
_space_group_name_Hall 'P 1'
loop_
_atom_site_label
_atom_site_type_symbol
_atom_site_fract_x
_atom_site_fract_y
_atom_site_fract_z
_atom_site_occupancy
Li1 Li 0.5000 0.5000 0.0000 1
Pu1 Pu 0.0000 0.0000 0.5000 1
Tl1 Tl 0.0000 0.5000 0.8013 1
Tl2 Tl 0.0000 0.5000 0.1987 1
Tl3 Tl 0.5000 0.0000 0.8013 1
Tl4 Tl 0.5000 0.0000 0.1987 1
Tl5 Tl 0.5000 0.5000 0.5000 1
```



Here is how they stack up, most stable first: version w, version x.



Version w
Density functional theory data (PBE) for crystalline LiPuTl4 at its relaxed geometry.

- calculated volume (Å³ per cell) = 159
- ρ (g/cm3) = 11.17
- magnetization (μB per cell) = 6.32
- SG = C2/m (12)

Geometry as CIF:
```
data_LiPuTl4
_cell_length_a 5.0319
_cell_length_b 3.5723
_cell_length_c 12.9356
_cell_angle_alpha 74.23
_cell_angle_beta 78.78
_cell_angle_gamma 45.23
_space_group_name_H-M_alt 'P 1'
_space_group_IT_number 1
_space_group_name_Hall 'P 1'
loop_
_atom_site_label
_atom_site_type_symbol
_atom_site_fract_x
_atom_site_fract_y
_atom_site_fract_z
_atom_site_occupancy
Li1 Li 0.0000 0.0000 0.0000 1
Pu1 Pu 0.5000 0.5000 0.5000 1
Tl1 Tl 0.5009 0.8546 0.1437 1
Tl2 Tl 0.4991 0.1454 0.8563 1
Tl3 Tl 0.9980 0.3254 0.6786 1
Tl4 Tl 0.0020 0.6746 0.3214 1
```



Version x
Density functional theory data (PBE) for crystalline LiPuTl4 at its relaxed geometry.

- calculated volume (Å³ per cell) = 159
- ρ (g/cm3) = 11.16
- magnetization (μB per cell) = 6.19
- SG = C2/m (12)

Geometry as CIF:
```
data_LiPuTl4
_cell_length_a 3.3547
_cell_length_b 6.6143
_cell_length_c 8.7138
_cell_angle_alpha 115.14
_cell_angle_beta 78.90
_cell_angle_gamma 75.31
_space_group_name_H-M_alt 'P 1'
_space_group_IT_number 1
_space_group_name_Hall 'P 1'
loop_
_atom_site_label
_atom_site_type_symbol
_atom_site_fract_x
_atom_site_fract_y
_atom_site_fract_z
_atom_site_occupancy
Li1 Li 0.0000 0.0000 0.0000 1
Pu1 Pu 0.5000 0.5000 0.5000 1
Tl1 Tl 0.7980 0.5495 0.8544 1
Tl2 Tl 0.3584 0.9714 0.3119 1
Tl3 Tl 0.2020 0.4505 0.1456 1
Tl4 Tl 0.6416 0.0286 0.6881 1
```



Here is how they stack up, most stable first: version w, version x.